w) ErIn2Ga | PBE-GGA | optimized geometry

Computed properties:
- DOS at the Fermi energy: 1.391 states/eV/cell

Lattice parameters (Å, degrees): 4.4462 4.4462 4.6497 90.00 90.00 90.00
Last column: nearest neighbours and their distance in Å.
Space group P4/mmm (No. 123)
One atom of each set of equivalent atoms:
Er 0.0000 0.0000 0.0000 x1  4 Ga 3.14, 8 In 3.22
In 0.0000 0.5000 0.5000 x2  4 In 3.14, 4 Ga 3.22, 4 Er 3.22
Ga 0.5000 0.5000 0.0000 x1  4 Er 3.14, 8 In 3.22

x) ErIn2Ga | PBE-GGA | optimized geometry

Computed properties:
- DOS at the Fermi energy: 7.959 states/eV/cell

Lattice parameters (Å, degrees): 5.2062 5.2062 12.7047 90.00 90.00 120.00
Last column: nearest neighbours and their distance in Å.
Space group R-3m (No. 166, hexagonal axes)
One atom of each set of equivalent atoms:
Er 0.0000 0.0000 0.0000 x3  8 In 3.18-3.19
In 0.0000 0.0000 0.2504 x6  4 Ga 3.17-3.19, 4 Er 3.18-3.19
Ga 0.0000 0.0000 0.5000 x3  8 In 3.17-3.19

Going by the energies, w) is most stable and the next is 305 meV per atom up.

w) SmErInGa | PBE-GGA | optimized geometry

Computed properties:
- DOS at the Fermi energy: 2.125 states/eV/cell

Lattice parameters (Å, degrees): 3.6452 3.6452 7.5671 90.00 90.00 90.00
Last column: nearest neighbours and their distance in Å.
Space group P4mm (No. 99)
One atom of each set of equivalent atoms:
Sm 0.0000 0.0000 0.0000 x1  4 Ga 3.18, 4 In 3.31, 1 Er 3.56
Er 0.0000 0.0000 0.4710 x1  4 Ga 3.09, 4 In 3.22
In 0.5000 0.5000 0.7257 x1  4 Er 3.22, 4 Sm 3.31
Ga 0.5000 0.5000 0.2467 x1  4 Er 3.09, 4 Sm 3.18

x) SmErInGa | PBE-GGA | optimized geometry

Computed properties:
- DOS at the Fermi energy: 5.051 states/eV/cell

Lattice parameters (Å, degrees): 7.3945 7.3945 7.3945 90.00 90.00 90.00
Last column: nearest neighbours and their distance in Å.
Space group F-43m (No. 216)
One atom of each set of equivalent atoms:
Sm 0.0000 0.0000 0.0000 x4  4 In 3.20, 4 Ga 3.20
Er 0.0000 0.0000 0.5000 x4  4 In 3.20, 4 Ga 3.20
In 0.2500 0.2500 0.2500 x4  4 Er 3.20, 4 Sm 3.20
Ga 0.2500 0.2500 0.7500 x4  4 Er 3.20, 4 Sm 3.20

Going by the energies, w) is most stable and the next is 21 meV per atom up.

w) TbErInGa | PBE-GGA | optimized geometry

Computed properties:
- DOS at the Fermi energy: 4.704 states/eV/cell

Lattice parameters (Å, degrees): 7.3317 7.3317 7.3317 90.00 90.00 90.00
Last column: nearest neighbours and their distance in Å.
Space group F-43m (No. 216)
One atom of each set of equivalent atoms:
Tb 0.0000 0.0000 0.0000 x4  4 In 3.17, 4 Ga 3.17
Er 0.0000 0.0000 0.5000 x4  4 Ga 3.17, 4 In 3.17
In 0.2500 0.2500 0.7500 x4  4 Er 3.17, 4 Tb 3.17
Ga 0.2500 0.2500 0.2500 x4  4 Tb 3.17, 4 Er 3.17

x) TbErInGa | PBE-GGA | optimized geometry

Computed properties:
- DOS at the Fermi energy: 1.784 states/eV/cell

Lattice parameters (Å, degrees): 3.5734 3.5734 7.6942 90.00 90.00 90.00
Last column: nearest neighbours and their distance in Å.
Space group P4mm (No. 99)
One atom of each set of equivalent atoms:
Tb 0.0000 0.0000 0.0000 x1  4 Ga 3.12, 4 In 3.27
Er 0.0000 0.0000 0.4687 x1  4 Ga 3.09, 4 In 3.23
In 0.5000 0.5000 0.7304 x1  4 Er 3.23, 4 Tb 3.27, 4 In 3.57
Ga 0.5000 0.5000 0.2383 x1  4 Er 3.09, 4 Tb 3.12

Going by the energies, x) is most stable and the next is 19 meV per atom up.

w) ErTmInGa | PBE-GGA | optimized geometry

Computed properties:
- DOS at the Fermi energy: 1.794 states/eV/cell

Lattice parameters (Å, degrees): 3.4561 3.4561 8.0162 90.00 90.00 90.00
Last column: nearest neighbours and their distance in Å.
Space group P4mm (No. 99)
One atom of each set of equivalent atoms:
Er 0.0000 0.0000 0.0000 x1  4 Ga 3.08, 4 In 3.26
Tm 0.0000 0.0000 0.4639 x1  4 Ga 3.07, 4 In 3.25
In 0.5000 0.5000 0.7308 x1  4 Tm 3.25, 4 Er 3.26, 4 In 3.46
Ga 0.5000 0.5000 0.2330 x1  4 Tm 3.07, 4 Er 3.08

x) ErTmInGa | PBE-GGA | optimized geometry

Computed properties:
- DOS at the Fermi energy: 5.351 states/eV/cell

Lattice parameters (Å, degrees): 7.2753 7.2753 7.2753 90.00 90.00 90.00
Last column: nearest neighbours and their distance in Å.
Space group F-43m (No. 216)
One atom of each set of equivalent atoms:
Er 0.0000 0.0000 0.0000 x4  4 In 3.15, 4 Ga 3.15
Tm 0.0000 0.0000 0.5000 x4  4 Ga 3.15, 4 In 3.15
In 0.2500 0.2500 0.2500 x4  4 Tm 3.15, 4 Er 3.15
Ga 0.2500 0.2500 0.7500 x4  4 Er 3.15, 4 Tm 3.15

Going by the energies, w) is most stable and the next is 21 meV per atom up.

w) YErInGa | PBE-GGA | optimized geometry

Computed properties:
- DOS at the Fermi energy: 5.353 states/eV/cell

Lattice parameters (Å, degrees): 7.3257 7.3257 7.3257 90.00 90.00 90.00
Last column: nearest neighbours and their distance in Å.
Space group F-43m (No. 216)
One atom of each set of equivalent atoms:
Y 0.0000 0.0000 0.0000 x4  4 In 3.17, 4 Ga 3.17
Er 0.0000 0.0000 0.5000 x4  4 In 3.17, 4 Ga 3.17
In 0.2500 0.2500 0.7500 x4  4 Er 3.17, 4 Y 3.17
Ga 0.2500 0.2500 0.2500 x4  4 Er 3.17, 4 Y 3.17

x) YErInGa | PBE-GGA | optimized geometry

Computed properties:
- DOS at the Fermi energy: 1.729 states/eV/cell

Lattice parameters (Å, degrees): 3.5644 3.5644 7.7128 90.00 90.00 90.00
Last column: nearest neighbours and their distance in Å.
Space group P4mm (No. 99)
One atom of each set of equivalent atoms:
Y 0.0000 0.0000 0.0000 x1  4 Ga 3.12, 4 In 3.26
Er 0.0000 0.0000 0.5314 x1  4 Ga 3.08, 4 In 3.23
In 0.5000 0.5000 0.2687 x1  4 Er 3.23, 4 Y 3.26, 4 In 3.56
Ga 0.5000 0.5000 0.7620 x1  4 Er 3.08, 4 Y 3.12

Going by the energies, x) is most stable and the next is 19 meV per atom up.

w) Er4GaIr2 | PBE-GGA | optimized geometry

Computed properties:
- DOS at the Fermi energy: 11.293 states/eV/cell

Lattice parameters (Å, degrees): 4.8317 4.8317 23.6309 90.00 90.00 120.00
Last column: nearest neighbours and their distance in Å.
Space group R-3m (No. 166, hexagonal axes)
One atom of each set of equivalent atoms:
Er 0.0000 0.0000 0.1199 x6  4 Ir 2.91-3.05, 3 Ga 3.00
Er 0.0000 0.0000 0.3714 x6  4 Ir 2.90-3.00, 1 Ga 3.04
Ga 0.0000 0.0000 0.5000 x3  8 Er 3.00-3.04
Ir 0.0000 0.0000 0.2489 x6  8 Er 2.90-3.05

x) Er4GaIr2 | PBE-GGA | optimized geometry

Computed properties:
- DOS at the Fermi energy: 6.330 states/eV/cell

Lattice parameters (Å, degrees): 7.0864 7.1129 7.3773 106.27 107.26 104.30
Last column: nearest neighbours and their distance in Å.
Space group P1 (No. 1)
One atom of each set of equivalent atoms:
Er 0.0000 0.0000 0.0000 x1  2 Ir 2.81-2.98, 2 Ga 2.88-3.07
Er 0.0244 0.1802 0.5892 x1  4 Ir 2.88-3.08, 1 Ga 3.10
Er 0.1582 0.5581 0.0488 x1  3 Ir 2.84-2.94, 1 Ga 2.91
Er 0.2076 0.7622 0.6653 x1  2 Ir 2.74-3.01, 2 Ga 2.88-2.93
Er 0.3959 0.4151 0.4136 x1  4 Ir 2.82-3.01, 2 Ga 2.93-3.10
Er 0.5768 0.0557 0.1944 x1  2 Ir 2.82-2.84, 1 Ga 2.94
Er 0.6361 0.2256 0.7861 x1  3 Ir 2.74-2.77, 1 Ga 3.00
Er 0.7491 0.6365 0.2518 x1  3 Ir 2.76-3.01, 1 Ga 2.96
Ga 0.2735 0.9549 0.3828 x1  1 Ir 2.80, 7 Er 2.88-3.10
Ga 0.5890 0.6792 0.8522 x1  2 Ir 2.75-2.92, 4 Er 2.88-2.96
Ir 0.3548 0.2577 0.9746 x1  7 Er 2.77-3.01
Ir 0.6264 0.8505 0.5428 x1  4 Er 2.74-3.05, 2 Ga 2.80-2.92
Ir 0.8445 0.5323 0.6798 x1  4 Er 2.74-2.95, 1 Ga 2.75
Ir 0.9647 0.3661 0.2862 x1  7 Er 2.76-3.01

Going by the energies, w) is most stable and the next is 34 meV per atom up.